Material: LaTm2Ag
Method: DFT, PBE
State: relaxed

Output
mass density = 8.53 g cm⁻³
space group = P4/mmm (123)
energy of formation from the pure elements = -0.130 eV/atom
Fermi-level density of states = 5.5 states/eV per cell
energy above the lowest structure with this stoichiometry = 0 meV/atom

```
data_LaTm2Ag
_cell_length_a 3.613
_cell_length_b 3.613
_cell_length_c 8.718
_cell_angle_alpha 90.00
_cell_angle_beta 90.00
_cell_angle_gamma 90.00
_space_group_name_H-M_alt 'P 1'
_space_group_IT_number 1
_space_group_name_Hall 'P 1'
loop_
_atom_site_label
_atom_site_fract_x
_atom_site_fract_y
_atom_site_fract_z
La1 0.000 0.000 0.000
Tm1 0.500 0.500 0.298
Tm2 0.500 0.500 0.702
Ag1 0.000 0.000 0.500
```

=====

Material: La2TmAg3
Method: DFT, PBE
State: relaxed

Output
mass density = 8.14 g cm⁻³
space group = P4/mmm (123)
energy of formation from the pure elements = -0.283 eV/atom
Fermi-level density of states = 4.4 states/eV per cell

```
data_La2TmAg3
_cell_length_a 3.696
_cell_length_b 3.696
_cell_length_c 11.508
_cell_angle_alpha 90.00
_cell_angle_beta 90.00
_cell_angle_gamma 90.00
_space_group_name_H-M_alt 'P 1'
_space_group_IT_number 1
_space_group_name_Hall 'P 1'
loop_
_atom_site_label
_atom_site_fract_x
_atom_site_fract_y
_atom_site_fract_z
La1 0.000 0.000 0.174
La2 0.000 0.000 0.826
Tm1 0.000 0.000 0.500
Ag1 0.500 0.500 0.000
Ag2 0.500 0.500 0.357
Ag3 0.500 0.500 0.643
```

=====

Material: La4TmAg
Method: DFT, PBE
State: relaxed

Output
mass density = 7.06 g cm⁻³
space group = P4/mmm (123)
energy of formation from the pure elements = -0.063 eV/atom
Fermi-level density of states = 10.5 states/eV per cell

```
data_La4TmAg
_cell_length_a 3.759
_cell_length_b 3.759
_cell_length_c 13.864
_cell_angle_alpha 90.00
_cell_angle_beta 90.00
_cell_angle_gamma 90.00
_space_group_name_H-M_alt 'P 1'
_space_group_IT_number 1
_space_group_name_Hall 'P 1'
loop_
_atom_site_label
_atom_site_fract_x
_atom_site_fract_y
_atom_site_fract_z
La1 0.000 0.000 0.141
La2 0.000 0.000 0.859
La3 0.500 0.500 0.326
La4 0.500 0.500 0.674
Tm1 0.000 0.000 0.500
Ag1 0.500 0.500 0.000
```

=====

Material: LaTmAg4
Method: DFT, PBE
State: relaxed

Output
mass density = 8.00 g cm⁻³
space group = Pmm2 (25)
energy of formation from the pure elements = 0.010 eV/atom
Fermi-level density of states = 3.6 states/eV per cell
energy above the lowest structure with this stoichiometry = 270 meV/atom

```
data_LaTmAg4
_cell_length_a 3.954
_cell_length_b 9.788
_cell_length_c 3.964
_cell_angle_alpha 90.00
_cell_angle_beta 90.00
_cell_angle_gamma 90.00
_space_group_name_H-M_alt 'P 1'
_space_group_IT_number 1
_space_group_name_Hall 'P 1'
loop_
_atom_site_label
_atom_site_fract_x
_atom_site_fract_y
_atom_site_fract_z
La1 0.000 0.000 0.000
Tm1 0.500 0.500 0.499
Ag1 0.000 0.265 0.499
Ag2 0.000 0.735 0.499
Ag3 0.500 0.266 0.999
Ag4 0.500 0.734 0.999
```

=====

Material: LaTmAg4
Method: DFT, PBE
State: relaxed

Output
mass density = 8.96 g cm⁻³
space group = Cmmm (65)
energy of formation from the pure elements = -0.260 eV/atom
Fermi-level density of states = 2.8 states/eV per cell
energy above the lowest structure with this stoichiometry = 0 meV/atom

```
data_LaTmAg4
_cell_length_a 5.452
_cell_length_b 5.452
_cell_length_c 5.373
_cell_angle_alpha 90.00
_cell_angle_beta 90.00
_cell_angle_gamma 120.86
_space_group_name_H-M_alt 'P 1'
_space_group_IT_number 1
_space_group_name_Hall 'P 1'
loop_
_atom_site_label
_atom_site_fract_x
_atom_site_fract_y
_atom_site_fract_z
La1 0.000 0.000 0.000
Tm1 0.500 0.500 0.500
Ag1 0.180 0.820 0.500
Ag2 0.333 0.667 0.000
Ag3 0.667 0.333 0.000
Ag4 0.820 0.180 0.500
```

=====

Material: LaTm2Ag3
Method: DFT, PBE
State: relaxed

Output
mass density = 9.02 g cm⁻³
space group = P4/mmm (123)
energy of formation from the pure elements = -0.315 eV/atom
Fermi-level density of states = 3.1 states/eV per cell

```
data_LaTm2Ag3
_cell_length_a 3.622
_cell_length_b 3.622
_cell_length_c 11.224
_cell_angle_alpha 90.00
_cell_angle_beta 90.00
_cell_angle_gamma 90.00
_space_group_name_H-M_alt 'P 1'
_space_group_IT_number 1
_space_group_name_Hall 'P 1'
loop_
_atom_site_label
_atom_site_fract_x
_atom_site_fract_y
_atom_site_fract_z
La1 0.000 0.000 0.000
Tm1 0.000 0.000 0.341
Tm2 0.000 0.000 0.659
Ag1 0.500 0.500 0.192
Ag2 0.500 0.500 0.500
Ag3 0.500 0.500 0.808
```